Hf6Re3N | PBE | optimized geometry

Its total moment is 0.00 μB/cell. The calculation puts the electronic total energy at -216.64 eV for the cell shown. The value obtained for the formation energy (no corrections) is -0.29 eV/atom. The calculation puts the theoretical density at 14.72 g cm⁻³.

The structure belongs to space group P2_1/c (No. 14); the cell edges are 5.840, 7.076 and 10.137 Å and the angles 90.00°, 117.72° and 90.00°. The asymmetric unit holds Hf at (0.076, 0.037, 0.237), Hf at (0.177, 0.700, 0.058), Hf at (0.388, 0.143, 0.057), Re at (0.338, 0.131, 0.753), Re at (0.500, 0.000, 0.500) and N at (0.000, 0.000, 0.000).